# NaTc2Se2

A relaxed NaTc2Se2 crystal (PBE-GGA, the Alexandria database).

The calculation puts the size of the total moment at 0.00 μB/f.u. For the formation energy without anion corrections, the calculation gives -6.09 kcal/mol of atoms.

The space group is I4/mmm (No. 139) and the conventional cell measures 4.0455, 4.0455 and 12.6097 Å, with angles of 90.00, 90.00 and 90.00 degrees. The inequivalent atoms are Na at (0.0000, 0.0000, 0.0000), Tc at (0.0000, 0.5000, 0.2500) and Se at (0.0000, 0.0000, 0.3639).